Record 1
A relaxed structure of Dy6P2PtSe3. Source: Alexandria, functional GGA-PBE.

Crystal system ... monoclinic

abc: 4.019 8.211 9.136
angles: 103.36 102.71 90.00
Sites, in units of the cell vectors:
Dy: 0.334 0.903 0.669
Dy: 0.672 0.572 0.343
Dy: 0.666 0.097 0.331
Dy: 0.005 0.241 0.010
Dy: 0.995 0.759 0.990
Dy: 0.328 0.428 0.657
P: 0.832 0.664 0.665
P: 0.168 0.336 0.335
Pt: 0.500 0.000 0.000
Se: 0.500 0.500 0.000
Se: 0.832 0.168 0.664
Se: 0.168 0.832 0.336

***

Record 2
A relaxed structure of Dy6PPt2Se3. Source: Alexandria, functional GGA-PBE.

Crystal system ... monoclinic

abc: 4.011 8.334 9.319
angles: 105.98 102.43 90.00
Sites, in units of the cell vectors:
Dy: 0.337 0.889 0.673
Dy: 0.667 0.586 0.333
Dy: 0.663 0.111 0.327
Dy: 0.007 0.241 0.014
Dy: 0.993 0.759 0.986
Dy: 0.333 0.414 0.667
P: 0.500 0.000 0.000
Pt: 0.829 0.648 0.658
Pt: 0.171 0.352 0.342
Se: 0.500 0.500 0.000
Se: 0.838 0.152 0.676
Se: 0.162 0.848 0.324

***

Record 3
A relaxed structure of Dy8P3PtSe4. Source: Alexandria, functional GGA-PBE.

Crystal system ... trigonal

abc: 8.095 8.159 8.095
angles: 119.74 120.00 90.00
Sites, in units of the cell vectors:
Dy: 0.245 0.732 0.987
Dy: 0.245 0.733 0.491
Dy: 0.257 0.272 0.514
Dy: 0.742 0.732 0.987
Dy: 0.258 0.268 0.013
Dy: 0.743 0.728 0.486
Dy: 0.755 0.267 0.509
Dy: 0.755 0.268 0.013
P: 0.500 0.500 0.000
P: 0.500 0.500 0.500
P: 0.000 0.500 0.500
Pt: 0.000 0.500 0.000
Se: 0.500 0.000 0.000
Se: 0.500 0.000 0.500
Se: 0.000 0.000 0.000
Se: 0.000 0.000 0.500

***

Record 4
A relaxed structure of Dy3Si2PPt9. Source: Alexandria, functional GGA-PBE.

Crystal system ... trigonal

abc: 6.538 6.538 8.003
angles: 90.00 90.00 120.00
Sites, in units of the cell vectors:
Dy: 0.333 0.667 0.695
Dy: 0.000 0.000 0.000
Dy: 0.667 0.333 0.305
Si: 0.333 0.667 0.198
Si: 0.667 0.333 0.802
P: 0.000 0.000 0.500
Pt: 0.857 0.143 0.709
Pt: 0.857 0.713 0.709
Pt: 0.287 0.143 0.709
Pt: 0.713 0.857 0.291
Pt: 0.143 0.287 0.291
Pt: 0.143 0.857 0.291
Pt: 0.500 0.000 0.000
Pt: 0.000 0.500 0.000
Pt: 0.500 0.500 0.000

***

Record 5
A relaxed structure of Dy2SiPPt6. Source: Alexandria, functional GGA-PBE.

Crystal system ... orthorhombic

abc: 5.535 8.193 8.351
angles: 90.00 90.00 90.00
Sites, in units of the cell vectors:
Dy: 0.500 0.733 0.243
Dy: 0.000 0.267 0.743
Dy: 0.500 0.733 0.757
Dy: 0.000 0.267 0.257
Si: 0.500 0.268 0.500
Si: 0.000 0.732 0.000
P: 0.000 0.735 0.500
P: 0.500 0.265 0.000
Pt: 0.500 0.129 0.244
Pt: 0.500 0.129 0.756
Pt: 0.000 0.871 0.256
Pt: 0.000 0.871 0.744
Pt: 0.248 0.015 0.500
Pt: 0.752 0.015 0.500
Pt: 0.252 0.506 0.500
Pt: 0.748 0.506 0.500
Pt: 0.752 0.494 0.000
Pt: 0.248 0.494 0.000
Pt: 0.252 0.985 0.000
Pt: 0.748 0.985 0.000

***

Record 6
A relaxed structure of SrDyP2Pt4. Source: Alexandria, functional GGA-PBE.

E_form ... -683 kJ/mol of formula units
Crystal system ... tetragonal

abc: 4.086 4.086 9.912
angles: 90.00 90.00 90.00
Sites, in units of the cell vectors:
Sr: 0.000 0.000 0.500
Dy: 0.000 0.000 0.000
P: 0.500 0.500 0.334
P: 0.500 0.500 0.666
Pt: 0.000 0.500 0.214
Pt: 0.500 0.000 0.786
Pt: 0.500 0.000 0.214
Pt: 0.000 0.500 0.786

***

Record 7
A relaxed structure of Dy6Te3PPt2. Source: Alexandria, functional GGA-PBE.

Crystal system ... monoclinic

abc: 7.203 7.203 7.592
angles: 99.14 99.14 120.20
Sites, in units of the cell vectors:
Dy: 0.929 0.596 0.788
Dy: 0.737 0.737 0.214
Dy: 0.071 0.404 0.212
Dy: 0.596 0.929 0.788
Dy: 0.263 0.263 0.786
Dy: 0.404 0.071 0.212
Te: 0.165 0.835 0.500
Te: 0.835 0.165 0.500
Te: 0.500 0.500 0.500
P: 0.000 0.000 0.000
Pt: 0.333 0.667 0.000
Pt: 0.667 0.333 0.000

***

Record 8
A relaxed structure of Dy4Te2PPt. Source: Alexandria, functional GGA-PBE.

Crystal system ... monoclinic

abc: 4.127 7.344 7.429
angles: 108.72 90.00 90.00
Sites, in units of the cell vectors:
Dy: 0.500 0.233 0.214
Dy: 0.500 0.767 0.786
Dy: 0.000 0.264 0.791
Dy: 0.000 0.736 0.209
Te: 0.500 0.000 0.500
Te: 0.000 0.500 0.500
P: 0.000 0.000 0.000
Pt: 0.500 0.500 0.000

***

Record 9
A relaxed structure of DyZn2P2Pt7. Source: Alexandria, functional GGA-PBE.

E_form ... -709 kJ/mol of formula units
Crystal system ... monoclinic

abc: 3.924 3.924 14.045
angles: 84.09 84.09 89.99
Sites, in units of the cell vectors:
Dy: 0.000 0.000 0.000
Zn: 0.899 0.899 0.416
Zn: 0.101 0.101 0.584
P: 0.594 0.594 0.743
P: 0.406 0.406 0.257
Pt: 0.500 0.500 0.000
Pt: 0.390 0.390 0.419
Pt: 0.610 0.610 0.581
Pt: 0.941 0.441 0.161
Pt: 0.441 0.941 0.161
Pt: 0.559 0.059 0.839
Pt: 0.059 0.559 0.839

***

Record 10
A relaxed structure of DyPu3P4. Source: Alexandria, functional GGA-PBE.

E_form ... -975 kJ/mol of formula units
Crystal system ... cubic

abc: 5.651 5.651 5.651
angles: 90.00 90.00 90.00
Each line ends with the local moment (μB).
Sites, in units of the cell vectors:
P: 0.500 0.000 0.000  -0.13
P: 0.000 0.500 0.000  -0.13
P: 0.000 0.000 0.500  -0.13
P: 0.500 0.500 0.500  -0.17
Pu: 0.000 0.500 0.500  4.91
Pu: 0.500 0.000 0.500  4.91
Pu: 0.500 0.500 0.000  4.91
Dy: 0.000 0.000 0.000  0.03

***

Record 11
A relaxed structure of DyPu2P. Source: Alexandria, functional GGA-PBE.

E_form ... -124 kJ/mol of formula units
Crystal system ... trigonal

abc: 3.647 3.647 9.753
angles: 79.22 79.22 60.00
Each line ends with the local moment (μB).
Sites, in units of the cell vectors:
P: 0.000 0.000 0.000  -0.14
Dy: 0.500 0.500 0.500  0.29
Pu: 0.271 0.271 0.188  5.33
Pu: 0.729 0.729 0.812  5.33

***

Record 12
A relaxed structure of DyPuP2. Source: Alexandria, functional GGA-PBE.

E_form ... -535 kJ/mol of formula units
Crystal system ... trigonal

abc: 4.008 4.008 6.885
angles: 73.07 73.07 60.01
Each line ends with the local moment (μB).
Sites, in units of the cell vectors:
Dy: 0.000 0.000 0.000  0.00
Pu: 0.500 0.500 0.500  4.91
P: 0.752 0.752 0.744  -0.10
P: 0.248 0.248 0.256  -0.10

***

Record 13
A relaxed structure of DyPuP. Source: Alexandria, functional GGA-PBE.

E_form ... -266 kJ/mol of formula units
Crystal system ... tetragonal

abc: 4.015 4.018 8.165
angles: 90.00 90.00 90.00
Each line ends with the local moment (μB).
Sites, in units of the cell vectors:
Pu: 0.750 0.750 0.500  5.25
Pu: 0.250 0.250 0.500  5.25
Dy: 0.750 0.250 0.860  -0.03
Dy: 0.250 0.750 0.140  -0.03
P: 0.750 0.250 0.214  -0.04
P: 0.250 0.750 0.786  -0.04

***

Record 14
A relaxed structure of DyPu3P4. Source: Alexandria, functional GGA-PBE.

E_form ... -948 kJ/mol of formula units
Crystal system ... orthorhombic

abc: 3.995 6.905 6.905
angles: 109.59 90.00 90.00
Each line ends with the local moment (μB).
Sites, in units of the cell vectors:
Dy: 0.500 0.000 0.000  0.02
Pu: 0.000 0.000 0.500  4.88
Pu: 0.500 0.500 0.500  -4.89
Pu: 0.000 0.500 0.000  4.88
P: 0.000 0.253 0.253  0.00
P: 0.500 0.750 0.250  -0.09
P: 0.000 0.747 0.747  0.00
P: 0.500 0.250 0.750  -0.09

***

Record 15
A relaxed structure of DyPuP2. Source: Alexandria, functional GGA-PBE.

E_form ... -470 kJ/mol of formula units
Crystal system ... trigonal

abc: 3.980 3.980 7.097
angles: 73.72 73.72 60.00
Each line ends with the local moment (μB).
Sites, in units of the cell vectors:
Dy: 0.497 0.497 0.508  0.04
Pu: 0.669 0.669 0.992  4.96
P: 0.081 0.081 0.758  -0.11
P: 0.253 0.253 0.242  -0.12

***

Record 16
A relaxed structure of Dy5PuP6. Source: Alexandria, functional GGA-PBE.

E_form ... -1770 kJ/mol of formula units
Crystal system ... monoclinic

abc: 6.932 6.932 6.930
angles: 59.99 80.40 70.52
Each line ends with the local moment (μB).
Sites, in units of the cell vectors:
P: 0.751 0.083 0.330  -0.05
P: 0.249 0.587 0.330  -0.05
P: 0.248 0.248 0.000  -0.04
P: 0.752 0.752 0.000  -0.04
P: 0.751 0.413 0.670  -0.05
P: 0.249 0.917 0.670  -0.05
Pu: 0.000 0.000 0.000  4.85
Dy: 0.500 0.167 0.665  0.01
Dy: 0.000 0.334 0.333  0.02
Dy: 0.500 0.500 0.000  0.01
Dy: 0.000 0.666 0.667  0.02
Dy: 0.500 0.833 0.335  0.01

***

Record 17
A relaxed structure of Dy2PuP3. Source: Alexandria, functional GGA-PBE.

E_form ... -840 kJ/mol of formula units
Crystal system ... tetragonal

abc: 4.001 4.001 8.935
angles: 102.94 102.94 90.00
Each line ends with the local moment (μB).
Sites, in units of the cell vectors:
Dy: 0.102 0.104 0.210  -0.02
Dy: 0.766 0.768 0.538  -0.02
Pu: 0.434 0.436 0.874  -4.88
P: 0.934 0.936 0.874  0.13
P: 0.269 0.270 0.543  0.05
P: 0.600 0.601 0.205  0.05

***

Record 18
A relaxed structure of DyPuP2. Source: Alexandria, functional GGA-PBE.

E_form ... -534 kJ/mol of formula units
Crystal system ... tetragonal

abc: 5.645 5.645 6.924
angles: 114.06 114.06 90.00
Each line ends with the local moment (μB).
Sites, in units of the cell vectors:
Dy: 0.500 0.500 0.000  0.01
Dy: 0.250 0.750 0.500  0.01
Pu: 0.750 0.250 0.500  4.89
Pu: 0.000 0.000 0.000  4.89
P: 0.753 0.753 0.507  -0.10
P: 0.503 0.003 0.007  -0.10
P: 0.247 0.247 0.493  -0.10
P: 0.997 0.497 0.993  -0.10

***

Record 19
A relaxed structure of Dy4PuP5. Source: Alexandria, functional GGA-PBE.

E_form ... -1460 kJ/mol of formula units
Crystal system ... tetragonal

abc: 5.654 6.931 6.931
angles: 80.42 65.93 65.93
Each line ends with the local moment (μB).
Sites, in units of the cell vectors:
Dy: 0.401 0.401 0.799  0.02
Dy: 0.802 0.799 0.599  0.02
Dy: 0.200 0.201 0.401  0.02
Dy: 0.601 0.599 0.201  0.02
Pu: 0.001 0.000 0.000  4.86
P: 0.903 0.396 0.801  -0.05
P: 0.298 0.801 0.604  -0.05
P: 0.704 0.199 0.396  -0.05
P: 0.099 0.604 0.199  -0.05
P: 0.501 0.000 0.000  -0.08

***

Record 20
A relaxed structure of DyPuPS. Source: Alexandria, functional GGA-PBE.

Crystal system ... trigonal

abc: 3.989 3.989 6.842
angles: 73.05 73.05 60.00
Each line ends with the local moment (μB).
Sites, in units of the cell vectors:
Dy: 0.695 0.695 0.915  0.04
Pu: 0.193 0.193 0.421  5.18
P: 0.444 0.444 0.668  -0.08
S: 0.944 0.944 0.168  -0.07

***

| no. | total moment (μB/atom) | total energy (Ry/atom) |
| --- | --- | --- |
| 1 | 0.000 | -0.4587 |
| 2 | 0.000 | -0.4548 |
| 3 | 0.000 | -0.4588 |
| 4 | 0.000 | -0.4703 |
| 5 | 0.000 | -0.4849 |
| 6 | 0.000 | -0.4442 |
| 7 | 0.000 | -0.4321 |
| 8 | 0.000 | -0.4332 |
| 9 | 0.000 | -0.4140 |
| 10 | 1.853 | -0.7290 |
| 11 | 2.944 | -0.7344 |
| 12 | 1.229 | -0.6485 |
| 13 | 1.734 | -0.6639 |
| 14 | 0.620 | -0.7264 |
| 15 | 1.243 | -0.6363 |
| 16 | 0.400 | -0.5399 |
| 17 | 0.817 | -0.5938 |
| 18 | 1.227 | -0.6484 |
| 19 | 0.485 | -0.5507 |
| 20 | 1.355 | -0.6473 |